Record 1
{"formula": "K2SbSe", "functional": "GGA-PBEsol", "state": "optimized geometry", "cell": [[-2.186, -2.870, -0.370], [-0.180, -2.493, 2.628], [-8.686, 3.634, 5.354]], "species": ["K", "K", "Se", "Sb"], "fractional_positions": [[0.259, 0.259, 0.223], [0.741, 0.741, 0.777], [0.000, 0.000, 0.000], [0.500, 0.500, 0.500]], "e_above_lowest_polymorph_ev_per_atom": 0.155, "raw_formation_energy_ev_per_atom": -0.324}

Record 2
{"formula": "CrTc2Ag", "functional": "GGA-PBEsol", "state": "optimized geometry", "cell": [[-1.835, -1.915, 0.826], [1.007, -2.549, -3.673], [3.801, -0.384, 2.885]], "species": ["Tc", "Tc", "Ag", "Cr"], "fractional_positions": [[0.227, 0.222, 0.453], [0.773, 0.778, 0.547], [0.000, 0.500, 0.000], [0.500, 0.000, 0.000]], "formation_enthalpy_0k_mev_per_atom": 440, "e_above_lowest_polymorph_ev_per_atom": 0.149}

Record 3
{"formula": "CaTa2Cr", "functional": "GGA-PBEsol", "state": "optimized geometry", "cell": [[-0.142, 2.963, -1.318], [-1.610, 1.081, 2.603], [6.466, 1.763, 3.268]], "species": ["Ca", "Ta", "Ta", "Cr"], "fractional_positions": [[0.000, 0.000, 0.522], [0.500, 0.500, 0.187], [0.000, 0.000, 0.977], [0.500, 0.500, 0.814]], "formation_enthalpy_0k_mev_per_atom": 534, "e_above_lowest_polymorph_ev_per_atom": 0.000}

Record 4
{"formula": "AlCuW", "functional": "GGA-PBEsol", "state": "optimized geometry", "cell": [[-0.963, 0.237, -2.563], [-0.825, -2.083, 1.591], [-4.945, 3.634, 2.194]], "species": ["Cu", "W", "Al"], "fractional_positions": [[0.333, 0.667, 0.674], [0.667, 0.333, 0.336], [0.000, 0.000, 0.990]], "formation_enthalpy_0k_mev_per_atom": 128}

Record 5
{"formula": "LiZrOs2", "functional": "GGA-PBEsol", "state": "optimized geometry", "cell": [[3.026, 0.000, 0.000], [0.000, 4.695, 0.002], [0.000, -1.795, 4.338]], "species": ["Os", "Os", "Zr", "Li"], "fractional_positions": [[0.000, 0.500, 0.000], [0.000, 0.000, 0.500], [0.500, 0.000, 0.000], [0.500, 0.500, 0.500]], "formation_enthalpy_0k_mev_per_atom": 274}

Record 6
{"formula": "TlPb3W", "functional": "GGA-PBEsol", "state": "optimized geometry", "cell": [[5.616, 0.000, 0.000], [0.000, 5.616, 0.000], [0.000, 0.000, 5.616]], "species": ["Pb", "Pb", "Pb", "W", "Tl"], "fractional_positions": [[0.000, 0.000, 0.500], [0.500, 0.000, 0.000], [0.000, 0.500, 0.000], [0.500, 0.500, 0.500], [0.000, 0.000, 0.000]], "formation_enthalpy_0k_mev_per_atom": 1884}

Record 7
{"formula": "KTaSe2", "functional": "GGA-PBEsol", "state": "optimized geometry", "cell": [[-2.897, -0.041, 1.471], [0.850, -4.628, 1.547], [2.074, 1.763, 4.137]], "species": ["Se", "Se", "Ta", "K"], "fractional_positions": [[0.000, 0.000, 0.500], [0.000, 0.500, 0.000], [0.500, 0.500, 0.500], [0.500, 0.000, 0.000]], "raw_formation_energy_ev_per_atom": -0.044}

Record 8
{"formula": "KTcRh2", "functional": "GGA-PBEsol", "state": "optimized geometry", "cell": [[2.793, 0.000, 0.000], [0.000, 2.793, 0.000], [0.000, 0.000, 8.749]], "species": ["K", "Tc", "Rh", "Rh"], "fractional_positions": [[0.500, 0.500, 0.500], [0.500, 0.500, 0.000], [0.000, 0.000, 0.806], [0.000, 0.000, 0.194]], "formation_enthalpy_0k_mev_per_atom": 375, "e_above_lowest_polymorph_ev_per_atom": 0.000}

| no. | density (Mg/m³) | E (eV per atom) |
| --- | --- | --- |
| 1 | 3.83 | -2.993 |
| 2 | 10.54 | -8.581 |
| 3 | 9.59 | -8.836 |
| 4 | 10.69 | -7.283 |
| 5 | 12.90 | -8.598 |
| 6 | 9.46 | -3.803 |
| 7 | 7.87 | -5.391 |
| 8 | 8.34 | -6.794 |